Computed, not measured: crystalline SrHfWO6 at its relaxed geometry at the PBE+U level of DFT.

The total energy is -8.2369 eV/atom. For the density, the calculation gives 6.692 Mg/m³. The density of states at the Fermi level comes out at 0.00 states/eV per cell.

The structure belongs to space group P-31c (No. 163); the cell edges are 5.4105, 5.4105 and 10.6866 Å and the angles 90.00°, 90.00° and 120.00°. Symmetry generates all atoms from Sr at (0.0000, 0.0000, 0.0000), Hf at (0.3333, 0.6667, 0.2500), W at (0.3333, 0.6667, 0.7500) and O at (0.0176, 0.3862, 0.6471).


Computed, not measured: crystalline SrHf2WO8 at its relaxed geometry at the PBE+U level of DFT.

The total energy is -8.5985 eV/atom. For the density, the calculation gives 7.728 Mg/m³. The density of states at the Fermi level comes out at 0.00 states/eV per cell.

The structure belongs to space group P2/m (No. 10); the cell edges are 4.9266, 6.6952 and 4.9305 Å and the angles 90.00°, 92.00° and 90.00°. Symmetry generates all atoms from Sr at (0.0000, 0.0000, 0.0000), Hf at (0.5000, 0.2450, 0.5000), W at (0.0000, 0.5000, 0.0000), O at (0.2025, 0.2973, 0.2015), O at (0.2847, 0.5000, 0.7144) and O at (0.3283, 0.0000, 0.6699).


Computed, not measured: crystalline Sr2HfWO at its relaxed geometry at the PBE+U level of DFT.

The total energy is -4.9347 eV/atom. For the density, the calculation gives 5.315 Mg/m³. The density of states at the Fermi level comes out at 3.06 states/eV per cell.

The structure belongs to space group P4/mmm (No. 123); the cell edges are 6.6187, 6.6187 and 3.9481 Å and the angles 90.00°, 90.00° and 90.00°. Symmetry generates all atoms from Sr at (0.0000, 0.5000, 0.0000), Hf at (0.0000, 0.0000, 0.0000), W at (0.5000, 0.5000, 0.5000) and O at (0.0000, 0.0000, 0.5000).